PmTc2Sb: relaxed, PBE.

CIF file:
```
data_PmTc2Sb
_cell_length_a 4.745
_cell_length_b 4.745
_cell_length_c 4.745
_cell_angle_alpha 60.00
_cell_angle_beta 60.00
_cell_angle_gamma 60.00
_symmetry_space_group_name_H-M 'P 1'
_symmetry_Int_Tables_number 1
loop_
_symmetry_equiv_pos_as_xyz
'x,y,z'
loop_
_atom_site_label
_atom_site_fract_x
_atom_site_fract_y
_atom_site_fract_z
Pm1 0.000 0.000 0.000
Tc1 0.250 0.250 0.250
Tc2 0.750 0.750 0.750
Sb1 0.500 0.500 0.500
```

Computed properties:
VASP energy, eV per atom: -7.31
Energy above the most stable polymorph in this dataset, meV/atom: 0
ρ, Mg/m³: 10.17
Space group: No. 225
DOS at the Fermi energy, states/eV/cell: 5.96
Total magnetic moment, μB/cell: 0.0
Uncorrected formation energy, eV per atom: 0.10